Entry 1:
CdIn3Mo: optimized geometry, GGA-PBE.

Properties
Theoretical density (Mg/m³): 5.745
Formation energy from the elements (eV/atom): 1.191
ΔE to the lowest computed polymorph (eV/atom): 0.612

Cell: 5.427 5.427 5.427 Å, 90.00 90.00 90.00°
Fractional positions:
Cd (0.000, 0.000, 0.000)
In (0.000, 0.000, 0.500)
In (0.000, 0.500, 0.000)
In (0.500, 0.000, 0.000)
Mo (0.500, 0.500, 0.500)

Entry 2:
BaLi2ReAg: optimized geometry, GGA-PBE.

Properties
Theoretical density (Mg/m³): 5.101
Formation energy from the elements (eV/atom): 1.091

Cell: 5.143 5.143 5.480 Å, 90.00 90.00 90.00°
Fractional positions:
Ba (0.000, 0.000, 0.000)
Li (0.000, 0.500, 0.500)
Li (0.500, 0.000, 0.500)
Re (0.000, 0.000, 0.500)
Ag (0.500, 0.500, 0.000)

Entry 3:
Ce7Si5Pt: optimized geometry, GGA-PBE.

Properties
Theoretical density (Mg/m³): 6.863
ΔE_f (raw) (kJ/mol of formula units): -598

Cell: 7.875 7.875 7.875 Å, 134.88 94.55 102.42°
Fractional positions:
Ce (0.000, 0.000, 0.000)
Ce (0.018, 0.722, 0.296)
Ce (0.427, 0.722, 0.704)
Ce (0.441, 0.441, 0.000)
Ce (0.490, 0.157, 0.333)
Ce (0.824, 0.157, 0.667)
Ce (0.869, 0.369, 0.500)
Si (0.186, 0.247, 0.537)
Si (0.186, 0.650, 0.939)
Si (0.416, 0.916, 0.500)
Si (0.711, 0.247, 0.061)
Si (0.711, 0.650, 0.463)
Pt (0.724, 0.724, 0.000)

Entry 4:
Tm2MnFe2Co5: optimized geometry, GGA-PBE.

Properties
Theoretical density (Mg/m³): 9.234
Formation energy from the elements (eV/atom): -0.008

Cell: 9.305 9.305 3.319 Å, 90.00 90.00 90.00°
Fractional positions:
Tm (0.177, 0.323, 0.000)
Tm (0.323, 0.823, 0.000)
Tm (0.677, 0.177, 0.000)
Tm (0.823, 0.677, 0.000)
Mn (0.000, 0.000, 0.000)
Mn (0.500, 0.500, 0.000)
Fe (0.122, 0.622, 0.000)
Fe (0.378, 0.122, 0.000)
Fe (0.622, 0.878, 0.000)
Fe (0.878, 0.378, 0.000)
Co (0.000, 0.500, 0.500)
Co (0.061, 0.796, 0.500)
Co (0.204, 0.061, 0.500)
Co (0.296, 0.561, 0.500)
Co (0.439, 0.296, 0.500)
Co (0.500, 0.000, 0.500)
Co (0.561, 0.704, 0.500)
Co (0.704, 0.439, 0.500)
Co (0.796, 0.939, 0.500)
Co (0.939, 0.204, 0.500)

Entry 5:
YMg2Au: optimized geometry, GGA-PBE.

Properties
Theoretical density (Mg/m³): 5.514
Formation energy from the elements (eV/atom): -0.178

Cell: 9.185 9.185 9.185 Å, 22.64 22.64 22.64°
Fractional positions:
Y (0.000, 0.000, 0.000)
Mg (0.232, 0.232, 0.232)
Mg (0.768, 0.768, 0.768)
Au (0.500, 0.500, 0.500)

Entry 6:
HoThTcNi: optimized geometry, GGA-PBE.

Properties
Theoretical density (Mg/m³): 11.069
Formation energy from the elements (eV/atom): -0.215

Cell: 4.897 4.897 4.897 Å, 60.00 60.00 60.00°
Fractional positions:
Ho (0.000, 0.000, 0.000)
Th (0.500, 0.500, 0.500)
Tc (0.250, 0.250, 0.250)
Ni (0.750, 0.750, 0.750)

Look up the theoretical density of the fifth one. 5.514 Mg/m³

What is the theoretical density in the fourth record? 9.234 Mg/m³

Which of these has the highest theoretical density? HoThTcNi